A geometry-optimized Na2AlCd structure, computed with PBE.

Output
As for the symmetry: Fm-3m (225). Its calculated volume is 400.38 Å³/cell. The total energy is -0.122 Ry per atom. The formation energy is 0.16 eV per atom.

a b c (Å): 7.370 7.370 7.370
angles (deg): 90.00 90.00 90.00
Fractional coordinates of all 16 atoms:
Na  0.250  0.250  0.250
Na  0.250  0.250  0.750
Na  0.250  0.750  0.250
Na  0.250  0.750  0.750
Na  0.750  0.250  0.250
Na  0.750  0.250  0.750
Na  0.750  0.750  0.250
Na  0.750  0.750  0.750
Al  0.000  0.000  0.000
Al  0.000  0.500  0.500
Al  0.500  0.000  0.500
Al  0.500  0.500  0.000
Cd  0.000  0.000  0.500
Cd  0.000  0.500  0.000
Cd  0.500  0.000  0.000
Cd  0.500  0.500  0.500


A geometry-optimized RbZn6Au3 structure, computed with PBE.

Output
As for the symmetry: P2_1/c (14). Its calculated volume is 408.83 Å³/cell. The total energy is -0.141 Ry per atom. The formation energy is -0.07 eV per atom.

a b c (Å): 6.919 7.526 8.815
angles (deg): 90.00 117.03 90.00
Fractional coordinates of all 20 atoms:
Rb  0.000  0.000  0.000
Rb  0.000  0.500  0.500
Zn  0.170  0.056  0.659
Zn  0.170  0.444  0.159
Zn  0.302  0.189  0.400
Zn  0.302  0.311  0.900
Zn  0.455  0.749  0.262
Zn  0.455  0.751  0.762
Zn  0.545  0.249  0.238
Zn  0.545  0.251  0.738
Zn  0.698  0.689  0.100
Zn  0.698  0.811  0.600
Zn  0.830  0.556  0.841
Zn  0.830  0.944  0.341
Au  0.247  0.641  0.937
Au  0.247  0.859  0.437
Au  0.500  0.000  0.000
Au  0.500  0.500  0.500
Au  0.753  0.141  0.563
Au  0.753  0.359  0.063


Question: Which of these has the highest formation energy?
Answer: Na2AlCd